1.
## CeBeFe2H8 (GGA-PBE)

Data for a relaxed structure of CeBeFe2H8.

Calculated values
- DFT total energy (eV per atom) = -4.378
- calculated density (g cm⁻³) = 4.56

Lattice parameters (Å, degrees): 4.3994 4.3994 5.8428 90.00 90.00 120.00
Space group P-3m1 (No. 164)
One atom of each set of equivalent atoms:
Ce 0.0000 0.0000 0.0000 x1
Be 0.0000 0.0000 0.5000 x1
Fe 0.3333 0.6667 0.3898 x2
H 0.1417 0.2833 0.3209 x6
H 0.3333 0.6667 0.1176 x2

***

2.
## AcGdSiIr (GGA-PBE)

Data for a relaxed structure of AcGdSiIr.

Calculated values
- energy relative to the elements, uncorrected (eV/atom) = -0.4031
- DFT total energy (eV per atom) = -8.521
- calculated density (g cm⁻³) = 10.25

Lattice parameters (Å, degrees): 7.3173 7.3173 7.3173 90.00 90.00 90.00
Space group F-43m (No. 216)
One atom of each set of equivalent atoms:
Ac 0.0000 0.0000 0.0000 x4
Gd 0.0000 0.0000 0.5000 x4
Si 0.2500 0.2500 0.2500 x4
Ir 0.2500 0.2500 0.7500 x4

***

3.
## CaAcReN4 (GGA-PBE)

Data for a relaxed structure of CaAcReN4.

Calculated values
- energy relative to the elements, uncorrected (eV/atom) = -0.8847
- DFT total energy (eV per atom) = -8.293
- calculated density (g cm⁻³) = 7.02

Lattice parameters (Å, degrees): 5.9471 6.0042 7.1492 90.00 109.25 90.00
Space group P2_1/m (No. 11)
One atom of each set of equivalent atoms:
Ca 0.1863 0.2500 0.0220 x2
Ac 0.2775 0.2500 0.5614 x2
Re 0.2599 0.7500 0.8155 x2
N 0.0545 0.5107 0.7486 x4
N 0.4327 0.7500 0.0755 x2
N 0.4606 0.7500 0.6664 x2